No. 1
MgHgMo2 after structural relaxation. Source: Alexandria via LeMat-Bulk, functional PBE-GGA.

POSCAR file:
```
MgHgMo2
1.0
-1.255 2.440 0.461
-0.025 -0.529 2.732
8.209 4.060 0.862
Mo Mg Hg
2 1 1
Direct
0.000 0.000 0.999
0.500 0.500 0.244
0.500 0.500 0.759
0.000 0.000 0.498
```

Calculated values
Formation enthalpy at 0 K: 0.405 eV per atom
Volume: 71.2 Å³/cell
Uncorrected energy: -5.48 eV per atom

---

No. 2
Mg2HgMo after structural relaxation. Source: Alexandria via LeMat-Bulk, functional PBE-GGA.

POSCAR file:
```
Mg2HgMo
1.0
-1.788 -2.184 0.677
2.457 -0.860 1.283
-2.513 4.480 7.815
Hg Mo Mg
1 1 2
Direct
0.500 0.500 0.743
0.000 0.000 0.498
0.000 0.000 0.992
0.500 0.500 0.268
```

Calculated values
Formation enthalpy at 0 K: 0.279 eV per atom
Volume: 77.3 Å³/cell
Uncorrected energy: -3.30 eV per atom

---

Please write out number 2 again, unchanged.
Mg2HgMo after structural relaxation. Source: Alexandria via LeMat-Bulk, functional PBE-GGA.

POSCAR file:
```
Mg2HgMo
1.0
-1.788 -2.184 0.677
2.457 -0.860 1.283
-2.513 4.480 7.815
Hg Mo Mg
1 1 2
Direct
0.500 0.500 0.743
0.000 0.000 0.498
0.000 0.000 0.992
0.500 0.500 0.268
```

Calculated values
Formation enthalpy at 0 K: 0.279 eV per atom
Volume: 77.3 Å³/cell
Uncorrected energy: -3.30 eV per atom

---

> What is the formation enthalpy at 0 K in the second record?

0.279 eV per atom

---

> Among the records above, which one has the highest volume?

Mg2HgMo